No. 1
# Pr3YPb4, optimized geometry, DFT PBE
# Symmetry   No. 71
# E_form   -0.3969 eV/atom
# Density of states at the Fermi level   6.85 states/eV per cell
data_Pr3YPb4
_chemical_formula_sum 'Pr3 Y1 Pb4'
_cell_length_a 3.779
_cell_length_b 7.430
_cell_length_c 10.233
_cell_angle_alpha 111.28
_cell_angle_beta 100.64
_cell_angle_gamma 90.00
_symmetry_space_group_name_H-M 'P 1'
_symmetry_Int_Tables_number 1
_symmetry_space_group_name_Hall 'P 1'
loop_
_atom_site_label
_atom_site_type_symbol
_atom_site_fract_x
_atom_site_fract_y
_atom_site_fract_z
Pb1 Pb 0.626 0.844 0.253
Pb2 Pb 0.626 0.408 0.253
Pb3 Pb 0.374 0.592 0.747
Pb4 Pb 0.374 0.156 0.747
Y1 Y 0.500 0.000 0.000
Pr1 Pr 0.218 0.218 0.436
Pr2 Pr 0.782 0.782 0.564
Pr3 Pr 0.000 0.500 0.000

No. 2
# ScCoAs2, optimized geometry, DFT PBE
# Symmetry   No. 12
# E_form   -0.6291 eV/atom
# Density of states at the Fermi level   1.21 states/eV per cell
data_ScCoAs2
_chemical_formula_sum 'Sc1 Co1 As2'
_cell_length_a 3.769
_cell_length_b 3.769
_cell_length_c 5.826
_cell_angle_alpha 71.08
_cell_angle_beta 71.08
_cell_angle_gamma 60.09
_symmetry_space_group_name_H-M 'P 1'
_symmetry_Int_Tables_number 1
_symmetry_space_group_name_Hall 'P 1'
loop_
_atom_site_label
_atom_site_type_symbol
_atom_site_fract_x
_atom_site_fract_y
_atom_site_fract_z
Co1 Co 0.750 0.750 0.750
As1 As 0.483 0.483 0.551
As2 As 0.017 0.017 0.949
Sc1 Sc 0.250 0.250 0.250

No. 3
# Ho12Hg3C5, optimized geometry, DFT PBE
# Symmetry   No. 230
# E_form   -0.1830 eV/atom
# Density of states at the Fermi level   31.97 states/eV per cell
data_Ho12Hg3C5
_chemical_formula_sum 'Ho48 Hg12 C20'
_cell_length_a 13.620
_cell_length_b 13.620
_cell_length_c 13.620
_cell_angle_alpha 109.47
_cell_angle_beta 109.47
_cell_angle_gamma 109.47
_symmetry_space_group_name_H-M 'P 1'
_symmetry_Int_Tables_number 1
_symmetry_space_group_name_Hall 'P 1'
loop_
_atom_site_label
_atom_site_type_symbol
_atom_site_fract_x
_atom_site_fract_y
_atom_site_fract_z
Hg1 Hg 0.250 0.625 0.875
Hg2 Hg 0.750 0.375 0.125
Hg3 Hg 0.875 0.750 0.125
Hg4 Hg 0.375 0.625 0.250
Hg5 Hg 0.875 0.125 0.250
Hg6 Hg 0.125 0.875 0.750
Hg7 Hg 0.750 0.875 0.625
Hg8 Hg 0.625 0.250 0.375
Hg9 Hg 0.125 0.250 0.875
Hg10 Hg 0.625 0.375 0.750
Hg11 Hg 0.375 0.750 0.625
Hg12 Hg 0.250 0.125 0.375
Ho1 Ho 0.518 0.201 0.114
Ho2 Ho 0.299 0.886 0.982
Ho3 Ho 0.912 0.817 0.799
Ho4 Ho 0.799 0.317 0.912
Ho5 Ho 0.183 0.088 0.701
Ho6 Ho 0.982 0.386 0.299
Ho7 Ho 0.404 0.386 0.588
Ho8 Ho 0.683 0.482 0.596
Ho9 Ho 0.614 0.018 0.201
Ho10 Ho 0.386 0.404 0.088
Ho11 Ho 0.799 0.482 0.386
Ho12 Ho 0.317 0.518 0.404
Ho13 Ho 0.096 0.183 0.482
Ho14 Ho 0.096 0.912 0.114
Ho15 Ho 0.114 0.412 0.096
Ho16 Ho 0.817 0.912 0.299
Ho17 Ho 0.886 0.588 0.904
Ho18 Ho 0.412 0.299 0.317
Ho19 Ho 0.088 0.183 0.201
Ho20 Ho 0.201 0.518 0.614
Ho21 Ho 0.201 0.683 0.088
Ho22 Ho 0.317 0.799 0.412
Ho23 Ho 0.912 0.096 0.614
Ho24 Ho 0.386 0.982 0.799
Ho25 Ho 0.299 0.412 0.817
Ho26 Ho 0.482 0.683 0.096
Ho27 Ho 0.412 0.114 0.596
Ho28 Ho 0.904 0.817 0.518
Ho29 Ho 0.018 0.404 0.817
Ho30 Ho 0.701 0.114 0.018
Ho31 Ho 0.701 0.588 0.183
Ho32 Ho 0.596 0.982 0.683
Ho33 Ho 0.114 0.701 0.518
Ho34 Ho 0.088 0.904 0.386
Ho35 Ho 0.886 0.299 0.482
Ho36 Ho 0.614 0.596 0.912
Ho37 Ho 0.183 0.096 0.982
Ho38 Ho 0.518 0.317 0.904
Ho39 Ho 0.982 0.596 0.183
Ho40 Ho 0.596 0.614 0.412
Ho41 Ho 0.904 0.088 0.886
Ho42 Ho 0.817 0.904 0.018
Ho43 Ho 0.588 0.701 0.683
Ho44 Ho 0.404 0.018 0.317
Ho45 Ho 0.482 0.799 0.886
Ho46 Ho 0.588 0.886 0.404
Ho47 Ho 0.018 0.614 0.701
Ho48 Ho 0.683 0.201 0.588
C1 C 0.500 0.000 0.000
C2 C 0.750 0.125 0.875
C3 C 0.000 0.500 0.000
C4 C 0.750 0.625 0.375
C5 C 0.500 0.500 0.000
C6 C 0.250 0.875 0.125
C7 C 0.875 0.625 0.750
C8 C 0.000 0.000 0.000
C9 C 0.625 0.750 0.875
C10 C 0.500 0.000 0.500
C11 C 0.500 0.500 0.500
C12 C 0.000 0.000 0.500
C13 C 0.375 0.125 0.750
C14 C 0.125 0.750 0.375
C15 C 0.875 0.250 0.625
C16 C 0.125 0.375 0.250
C17 C 0.375 0.250 0.125
C18 C 0.000 0.500 0.500
C19 C 0.250 0.375 0.625
C20 C 0.625 0.875 0.250

No. 4
# SmTaS3, optimized geometry, DFT PBE
# Symmetry   No. 12
# Formation energy from raw total energies   -7.283 eV per formula unit
# Density of states at the Fermi level   3.74 states/eV per cell
# Polymorph energy (0 for the lowest one)   0.00 eV/f.u.
data_SmTaS3
_chemical_formula_sum 'Sm2 Ta2 S6'
_cell_length_a 3.594
_cell_length_b 7.143
_cell_length_c 8.513
_cell_angle_alpha 94.79
_cell_angle_beta 102.23
_cell_angle_gamma 104.56
_symmetry_space_group_name_H-M 'P 1'
_symmetry_Int_Tables_number 1
_symmetry_space_group_name_Hall 'P 1'
loop_
_atom_site_label
_atom_site_type_symbol
_atom_site_fract_x
_atom_site_fract_y
_atom_site_fract_z
S1 S 0.874 0.222 0.611
S2 S 0.190 0.823 0.639
S3 S 0.098 0.013 0.265
S4 S 0.622 0.324 0.003
S5 S 0.399 0.533 0.349
S6 S 0.307 0.723 0.975
Ta1 Ta 0.879 0.655 0.187
Ta2 Ta 0.618 0.891 0.427
Sm1 Sm 0.925 0.038 0.896
Sm2 Sm 0.571 0.508 0.717

No. 5
# Si2Tc, optimized geometry, DFT PBE
# Symmetry   No. 164
# Formation energy from raw total energies   -0.617 eV per formula unit
# Density of states at the Fermi level   1.29 states/eV per cell
# Polymorph energy (0 for the lowest one)   0.56 eV/f.u.
data_Si2Tc
_chemical_formula_sum 'Si2 Tc1'
_cell_length_a 2.934
_cell_length_b 2.934
_cell_length_c 5.678
_cell_angle_alpha 90.00
_cell_angle_beta 90.00
_cell_angle_gamma 120.00
_symmetry_space_group_name_H-M 'P 1'
_symmetry_Int_Tables_number 1
_symmetry_space_group_name_Hall 'P 1'
loop_
_atom_site_label
_atom_site_type_symbol
_atom_site_fract_x
_atom_site_fract_y
_atom_site_fract_z
Tc1 Tc 0.000 0.000 0.000
Si1 Si 0.333 0.667 0.679
Si2 Si 0.667 0.333 0.321

No. 6
# ReTcP2, optimized geometry, DFT PBE
# Symmetry   No. 123
# E_form   -0.2377 eV/atom
# Density of states at the Fermi level   2.67 states/eV per cell
# Polymorph energy (0 for the lowest one)   0.22 eV/f.u.
data_ReTcP2
_chemical_formula_sum 'Re1 Tc1 P2'
_cell_length_a 4.174
_cell_length_b 4.174
_cell_length_c 2.965
_cell_angle_alpha 90.00
_cell_angle_beta 90.00
_cell_angle_gamma 90.00
_symmetry_space_group_name_H-M 'P 1'
_symmetry_Int_Tables_number 1
_symmetry_space_group_name_Hall 'P 1'
loop_
_atom_site_label
_atom_site_type_symbol
_atom_site_fract_x
_atom_site_fract_y
_atom_site_fract_z
P1 P 0.500 0.500 0.000
P2 P 0.000 0.000 0.000
Re1 Re 0.500 0.000 0.500
Tc1 Tc 0.000 0.500 0.500

No. 7
# PrZrPb, optimized geometry, DFT PBE
# Symmetry   No. 129
# E_form   -0.3791 eV/atom
# Density of states at the Fermi level   6.63 states/eV per cell
# Polymorph energy (0 for the lowest one)   0.00 eV/f.u.
data_PrZrPb
_chemical_formula_sum 'Pr2 Zr2 Pb2'
_cell_length_a 4.487
_cell_length_b 4.487
_cell_length_c 8.662
_cell_angle_alpha 90.00
_cell_angle_beta 90.00
_cell_angle_gamma 90.00
_symmetry_space_group_name_H-M 'P 1'
_symmetry_Int_Tables_number 1
_symmetry_space_group_name_Hall 'P 1'
loop_
_atom_site_label
_atom_site_type_symbol
_atom_site_fract_x
_atom_site_fract_y
_atom_site_fract_z
Pr1 Pr 0.000 0.500 0.842
Pr2 Pr 0.500 0.000 0.158
Zr1 Zr 0.000 0.000 0.500
Zr2 Zr 0.500 0.500 0.500
Pb1 Pb 0.500 0.000 0.758
Pb2 Pb 0.000 0.500 0.242

No. 8
# Ti2CdHRh, optimized geometry, DFT PBE
# Symmetry   No. 123
# Density of states at the Fermi level   4.85 states/eV per cell
# Final energy   -5.772 eV/atom
data_Ti2CdHRh
_chemical_formula_sum 'Ti2 Cd1 H1 Rh1'
_cell_length_a 4.091
_cell_length_b 4.091
_cell_length_c 4.055
_cell_angle_alpha 90.00
_cell_angle_beta 90.00
_cell_angle_gamma 90.00
_symmetry_space_group_name_H-M 'P 1'
_symmetry_Int_Tables_number 1
_symmetry_space_group_name_Hall 'P 1'
loop_
_atom_site_label
_atom_site_type_symbol
_atom_site_fract_x
_atom_site_fract_y
_atom_site_fract_z
Ti1 Ti 0.000 0.500 0.000
Ti2 Ti 0.500 0.000 0.000
H1 H 0.000 0.000 0.000
Rh1 Rh 0.000 0.000 0.500
Cd1 Cd 0.500 0.500 0.500

No. 9
# Na3TeIr, optimized geometry, DFT PBE
# Symmetry   No. 221
# Formation energy from raw total energies   2.631 eV per formula unit
# Density of states at the Fermi level   6.61 states/eV per cell
data_Na3TeIr
_chemical_formula_sum 'Na3 Te1 Ir1'
_cell_length_a 5.497
_cell_length_b 5.497
_cell_length_c 5.497
_cell_angle_alpha 90.00
_cell_angle_beta 90.00
_cell_angle_gamma 90.00
_symmetry_space_group_name_H-M 'P 1'
_symmetry_Int_Tables_number 1
_symmetry_space_group_name_Hall 'P 1'
loop_
_atom_site_label
_atom_site_type_symbol
_atom_site_fract_x
_atom_site_fract_y
_atom_site_fract_z
Na1 Na 0.000 0.500 0.000
Na2 Na 0.000 0.000 0.500
Na3 Na 0.500 0.000 0.000
Ir1 Ir 0.000 0.000 0.000
Te1 Te 0.500 0.500 0.500

No. 10
# Cs3SnF8, optimized geometry, DFT PBE
# Symmetry   No. 121
# Formation energy from raw total energies   -29.383 eV per formula unit
# Density of states at the Fermi level   6.50 states/eV per cell
data_Cs3SnF8
_chemical_formula_sum 'Cs3 Sn1 F8'
_cell_length_a 7.216
_cell_length_b 7.027
_cell_length_c 7.216
_cell_angle_alpha 59.11
_cell_angle_beta 90.00
_cell_angle_gamma 120.89
_symmetry_space_group_name_H-M 'P 1'
_symmetry_Int_Tables_number 1
_symmetry_space_group_name_Hall 'P 1'
loop_
_atom_site_label
_atom_site_type_symbol
_atom_site_fract_x
_atom_site_fract_y
_atom_site_fract_z
F1 F 0.754 0.902 0.852
F2 F 0.695 0.617 0.305
F3 F 0.923 0.617 0.077
F4 F 0.305 0.383 0.923
F5 F 0.077 0.383 0.695
F6 F 0.148 0.902 0.246
F7 F 0.852 0.098 0.148
F8 F 0.246 0.098 0.754
Cs1 Cs 0.750 0.500 0.750
Cs2 Cs 0.250 0.500 0.250
Cs3 Cs 0.500 0.000 0.500
Sn1 Sn 0.000 0.000 0.000

No. 11
# BaTl3Te, optimized geometry, DFT PBE
# Symmetry   No. 221
# Formation energy from raw total energies   0.207 eV per formula unit
# Density of states at the Fermi level   5.15 states/eV per cell
# Polymorph energy (0 for the lowest one)   0.00 eV/f.u.
data_BaTl3Te
_chemical_formula_sum 'Ba1 Tl3 Te1'
_cell_length_a 6.131
_cell_length_b 6.131
_cell_length_c 6.131
_cell_angle_alpha 90.00
_cell_angle_beta 90.00
_cell_angle_gamma 90.00
_symmetry_space_group_name_H-M 'P 1'
_symmetry_Int_Tables_number 1
_symmetry_space_group_name_Hall 'P 1'
loop_
_atom_site_label
_atom_site_type_symbol
_atom_site_fract_x
_atom_site_fract_y
_atom_site_fract_z
Tl1 Tl 0.000 0.500 0.000
Tl2 Tl 0.000 0.000 0.500
Tl3 Tl 0.500 0.000 0.000
Te1 Te 0.000 0.000 0.000
Ba1 Ba 0.500 0.500 0.500

No. 12
# ScHIr2Rh, optimized geometry, DFT PBE
# Symmetry   No. 123
# Density of states at the Fermi level   5.49 states/eV per cell
# Polymorph energy (0 for the lowest one)   4.30 eV/f.u.
data_ScHIr2Rh
_chemical_formula_sum 'Sc1 H1 Ir2 Rh1'
_cell_length_a 4.934
_cell_length_b 3.168
_cell_length_c 4.934
_cell_angle_alpha 90.00
_cell_angle_beta 90.00
_cell_angle_gamma 90.00
_symmetry_space_group_name_H-M 'P 1'
_symmetry_Int_Tables_number 1
_symmetry_space_group_name_Hall 'P 1'
loop_
_atom_site_label
_atom_site_type_symbol
_atom_site_fract_x
_atom_site_fract_y
_atom_site_fract_z
Ir1 Ir 0.500 0.000 0.000
Ir2 Ir 0.000 0.000 0.500
Sc1 Sc 0.500 0.500 0.500
H1 H 0.000 0.500 0.000
Rh1 Rh 0.000 0.000 0.000

Which formula does entry 2 have? ScCoAs2